Entry 1:
## TlRhSe2 (PBE)

Data for an optimized crystal structure of TlRhSe2.

Properties
For the volume, the calculation gives 92.9 Å³/cell. The value obtained for the electronic total energy is -4.170 eV/atom.

CIF file:
```
data_TlRhSe2
_chemical_formula_sum 'Tl1 Rh1 Se2'
_space_group_name_H-M_alt 'P 1'
_space_group_IT_number 1
_cell_length_a 8.855
_cell_length_b 8.855
_cell_length_c 8.855
_cell_angle_alpha 22.99
_cell_angle_beta 22.99
_cell_angle_gamma 22.99
loop_
_space_group_symop_operation_xyz
'x,y,z'
loop_
_atom_site_label
_atom_site_type_symbol
_atom_site_fract_x
_atom_site_fract_y
_atom_site_fract_z
Tl1 Tl 0.000 0.000 0.000
Rh1 Rh 0.423 0.423 0.423
Se1 Se 0.139 0.139 0.139
Se2 Se 0.588 0.588 0.588
```

=====

Entry 2:
## TlRh5Se8 (PBE)

Data for an optimized crystal structure of TlRh5Se8.

Properties
For the volume, the calculation gives 306.8 Å³/cell. The value obtained for the electronic total energy is -5.181 eV/atom.

CIF file:
```
data_TlRh5Se8
_chemical_formula_sum 'Tl1 Rh5 Se8'
_space_group_name_H-M_alt 'P 1'
_space_group_IT_number 1
_cell_length_a 9.936
_cell_length_b 9.936
_cell_length_c 8.823
_cell_angle_alpha 106.35
_cell_angle_beta 106.35
_cell_angle_gamma 21.57
loop_
_space_group_symop_operation_xyz
'x,y,z'
loop_
_atom_site_label
_atom_site_type_symbol
_atom_site_fract_x
_atom_site_fract_y
_atom_site_fract_z
Tl1 Tl 0.000 0.000 0.000
Rh1 Rh 0.124 0.124 0.468
Rh2 Rh 0.168 0.168 0.824
Rh3 Rh 0.465 0.465 0.499
Rh4 Rh 0.764 0.764 0.178
Rh5 Rh 0.809 0.809 0.538
Se1 Se 0.042 0.042 0.635
Se2 Se 0.230 0.230 0.355
Se3 Se 0.289 0.289 0.015
Se4 Se 0.384 0.384 0.681
Se5 Se 0.549 0.549 0.324
Se6 Se 0.643 0.643 0.988
Se7 Se 0.703 0.703 0.653
Se8 Se 0.887 0.887 0.367
```

=====

Entry 3:
## Tl2RhSe (PBE)

Data for an optimized crystal structure of Tl2RhSe.

Properties
For the volume, the calculation gives 253.8 Å³/cell. The value obtained for the electronic total energy is -3.607 eV/atom. The calculation puts the energy above the lowest structure with this stoichiometry at 394 meV per atom.

CIF file:
```
data_Tl2RhSe
_chemical_formula_sum 'Tl4 Rh2 Se2'
_space_group_name_H-M_alt 'P 1'
_space_group_IT_number 1
_cell_length_a 7.405
_cell_length_b 7.405
_cell_length_c 7.405
_cell_angle_alpha 126.49
_cell_angle_beta 126.49
_cell_angle_gamma 79.09
loop_
_space_group_symop_operation_xyz
'x,y,z'
loop_
_atom_site_label
_atom_site_type_symbol
_atom_site_fract_x
_atom_site_fract_y
_atom_site_fract_z
Tl1 Tl 0.100 0.625 0.975
Tl2 Tl 0.375 0.350 0.475
Tl3 Tl 0.650 0.125 0.025
Tl4 Tl 0.875 0.900 0.525
Rh1 Rh 0.000 0.000 0.000
Rh2 Rh 0.750 0.250 0.500
Se1 Se 0.250 0.750 0.500
Se2 Se 0.500 0.500 0.000
```

=====

Entry 4:
## TlRhSe2 (PBE)

Data for an optimized crystal structure of TlRhSe2.

Properties
For the volume, the calculation gives 233.5 Å³/cell. The value obtained for the electronic total energy is -4.377 eV/atom.

CIF file:
```
data_TlRhSe2
_chemical_formula_sum 'Tl2 Rh2 Se4'
_space_group_name_H-M_alt 'P 1'
_space_group_IT_number 1
_cell_length_a 7.141
_cell_length_b 7.141
_cell_length_c 7.141
_cell_angle_alpha 125.35
_cell_angle_beta 125.35
_cell_angle_gamma 80.95
loop_
_space_group_symop_operation_xyz
'x,y,z'
loop_
_atom_site_label
_atom_site_type_symbol
_atom_site_fract_x
_atom_site_fract_y
_atom_site_fract_z
Tl1 Tl 0.000 0.000 0.000
Tl2 Tl 0.750 0.250 0.500
Rh1 Rh 0.250 0.750 0.500
Rh2 Rh 0.500 0.500 0.000
Se1 Se 0.210 0.625 0.085
Se2 Se 0.375 0.460 0.585
Se3 Se 0.540 0.125 0.915
Se4 Se 0.875 0.790 0.415
```

=====

Entry 5:
## Tl2Rh2Se (PBE)

Data for an optimized crystal structure of Tl2Rh2Se.

Properties
For the volume, the calculation gives 197.2 Å³/cell. The value obtained for the electronic total energy is -4.481 eV/atom.

CIF file:
```
data_Tl2Rh2Se
_chemical_formula_sum 'Tl4 Rh4 Se2'
_space_group_name_H-M_alt 'P 1'
_space_group_IT_number 1
_cell_length_a 7.058
_cell_length_b 7.058
_cell_length_c 3.959
_cell_angle_alpha 90.00
_cell_angle_beta 90.00
_cell_angle_gamma 90.00
loop_
_space_group_symop_operation_xyz
'x,y,z'
loop_
_atom_site_label
_atom_site_type_symbol
_atom_site_fract_x
_atom_site_fract_y
_atom_site_fract_z
Tl1 Tl 0.160 0.340 0.000
Tl2 Tl 0.340 0.840 0.000
Tl3 Tl 0.660 0.160 0.000
Tl4 Tl 0.840 0.660 0.000
Rh1 Rh 0.146 0.646 0.500
Rh2 Rh 0.354 0.146 0.500
Rh3 Rh 0.646 0.854 0.500
Rh4 Rh 0.854 0.354 0.500
Se1 Se 0.000 0.000 0.500
Se2 Se 0.500 0.500 0.500
```

=====

Entry 6:
## TlRhSe2 (PBE)

Data for an optimized crystal structure of TlRhSe2.

Properties
For the volume, the calculation gives 92.3 Å³/cell. The value obtained for the electronic total energy is -4.153 eV/atom.

CIF file:
```
data_TlRhSe2
_chemical_formula_sum 'Tl1 Rh1 Se2'
_space_group_name_H-M_alt 'P 1'
_space_group_IT_number 1
_cell_length_a 3.171
_cell_length_b 3.171
_cell_length_c 9.181
_cell_angle_alpha 90.00
_cell_angle_beta 90.00
_cell_angle_gamma 90.00
loop_
_space_group_symop_operation_xyz
'x,y,z'
loop_
_atom_site_label
_atom_site_type_symbol
_atom_site_fract_x
_atom_site_fract_y
_atom_site_fract_z
Tl1 Tl 0.000 0.000 0.000
Rh1 Rh 0.500 0.500 0.280
Se1 Se 0.000 0.000 0.400
Se2 Se 0.500 0.500 0.743
```

=====

| no. | formation energy from raw total energies (meV/atom) |
| --- | --- |
| 1 | 2 |
| 2 | -395 |
| 3 | 285 |
| 4 | -205 |
| 5 | 103 |
| 6 | 19 |